# UAg2PbO6

UAg2PbO6 after structural relaxation (PBE, the Alexandria database).

a = 5.863 Å, b = 5.863 Å, c = 5.780 Å
α = 119.52°, β = 119.52°, γ = 61.96°
Fractional positions:
U1 0.000 0.000 0.000
Ag1 0.250 0.250 0.733
Ag2 0.750 0.750 0.267
Pb1 0.500 0.500 0.500
O1 0.185 0.693 0.696
O2 0.241 0.241 0.123
O3 0.307 0.815 0.304
O4 0.693 0.185 0.696
O5 0.759 0.759 0.877
O6 0.815 0.307 0.304

Computed properties:
Formation energy from raw total energies   -1.468 eV/atom
Space group   No. 12
Energy   -6.5128 eV/atom


# AlTlI4

AlTlI4 after structural relaxation (PBE, the Alexandria database).

a = 7.572 Å, b = 7.572 Å, c = 10.860 Å
α = 96.61°, β = 96.61°, γ = 78.74°
Fractional positions:
Al1 0.151 0.849 0.750
Al2 0.849 0.151 0.250
Tl1 0.000 0.500 0.000
Tl2 0.500 0.000 0.500
I1 0.180 0.182 0.237
I2 0.182 0.180 0.737
I3 0.266 0.660 0.555
I4 0.340 0.734 0.945
I5 0.660 0.266 0.055
I6 0.734 0.340 0.445
I7 0.818 0.820 0.263
I8 0.820 0.818 0.763

Computed properties:
Formation energy from raw total energies   -0.690 eV/atom
Space group   No. 15
Energy   -2.7411 eV/atom


# TlPbCl2

TlPbCl2 after structural relaxation (PBE, the Alexandria database).

a = 9.401 Å, b = 9.401 Å, c = 9.401 Å
α = 23.55°, β = 23.55°, γ = 23.55°
Fractional positions:
Tl1 0.000 0.000 0.000
Pb1 0.500 0.500 0.500
Cl1 0.250 0.250 0.250
Cl2 0.750 0.750 0.750

Computed properties:
Formation energy from raw total energies   -0.750 eV/atom
Space group   No. 166
Energy   -3.1922 eV/atom


# PmPuTlBi

PmPuTlBi after structural relaxation (PBE, the Alexandria database).

a = 5.503 Å, b = 5.503 Å, c = 5.503 Å
α = 60.00°, β = 60.00°, γ = 60.00°
Fractional positions:
Pm1 0.000 0.000 0.000
Pu1 0.500 0.500 0.500
Tl1 0.750 0.750 0.750
Bi1 0.250 0.250 0.250

Computed properties:
Space group   No. 216
Calculated formation energy   -28 kJ per mole of atoms
Energy   -6.6261 eV/atom